No. 1
{"formula": "La8IrAu2C", "functional": "GGA-PBE", "state": "relaxed", "lattice_angstrom": [[6.709, 0.000, 0.000], [-0.308, 7.155, 0.000], [-1.782, -0.572, 7.567]], "species": ["La", "La", "La", "La", "La", "La", "La", "La", "Ir", "Au", "Au", "C"], "fractional_positions": [[0.160, 0.206, 0.412], [0.222, 0.112, 0.967], [0.232, 0.692, 0.309], [0.283, 0.568, 0.782], [0.717, 0.432, 0.218], [0.768, 0.308, 0.691], [0.778, 0.888, 0.033], [0.840, 0.794, 0.588], [0.000, 0.500, 0.000], [0.426, 0.959, 0.678], [0.574, 0.041, 0.322], [0.000, 0.500, 0.500]], "sg": "P-1, No. 2", "energy_ev_per_atom": -5.751}

No. 2
{"formula": "La2IrAuC", "functional": "GGA-PBE", "state": "relaxed", "lattice_angstrom": [[5.378, 0.000, 0.000], [0.000, 5.378, 0.000], [0.000, 0.000, 3.888]], "species": ["La", "La", "Ir", "Au", "C"], "fractional_positions": [[0.000, 0.500, 0.000], [0.500, 0.000, 0.000], [0.000, 0.000, 0.500], [0.500, 0.500, 0.500], [0.000, 0.000, 0.000]], "sg": "P4/mmm, No. 123", "energy_ev_per_atom": -6.868}

No. 3
{"formula": "MgIrAu2C", "functional": "GGA-PBE", "state": "relaxed", "lattice_angstrom": [[4.242, 0.000, 0.000], [0.000, 4.242, 0.000], [0.000, 0.000, 4.253]], "species": ["Mg", "Ir", "Au", "Au", "C"], "fractional_positions": [[0.000, 0.000, 0.000], [0.500, 0.500, 0.000], [0.000, 0.500, 0.500], [0.500, 0.000, 0.500], [0.000, 0.000, 0.500]], "sg": "P4/mmm, No. 123", "energy_ev_per_atom": -4.503}

No. 4
{"formula": "Nd2IrAuC", "functional": "GGA-PBE", "state": "relaxed", "lattice_angstrom": [[5.266, 0.000, 0.000], [0.000, 5.266, 0.000], [0.000, 0.000, 3.873]], "species": ["Nd", "Nd", "Ir", "Au", "C"], "fractional_positions": [[0.000, 0.500, 0.000], [0.500, 0.000, 0.000], [0.000, 0.000, 0.500], [0.500, 0.500, 0.500], [0.000, 0.000, 0.000]], "sg": "P4/mmm, No. 123", "energy_ev_per_atom": -6.774}

No. 5
{"formula": "Ni2IrAuC", "functional": "GGA-PBE", "state": "relaxed", "lattice_angstrom": [[3.936, 0.000, 0.000], [0.000, 3.936, 0.000], [0.000, 0.000, 3.991]], "species": ["Ni", "Ni", "Ir", "Au", "C"], "fractional_positions": [[0.000, 0.500, 0.000], [0.500, 0.000, 0.000], [0.000, 0.000, 0.500], [0.500, 0.500, 0.500], [0.000, 0.000, 0.000]], "sg": "P4/mmm, No. 123", "energy_ev_per_atom": -6.372}

No. 6
{"formula": "P2IrAuC", "functional": "GGA-PBE", "state": "relaxed", "lattice_angstrom": [[4.453, 0.000, 0.000], [0.000, 4.453, 0.000], [0.000, 0.000, 5.294]], "species": ["P", "P", "Ir", "Au", "C"], "fractional_positions": [[0.000, 0.500, 0.000], [0.500, 0.000, 0.000], [0.000, 0.000, 0.000], [0.000, 0.000, 0.500], [0.500, 0.500, 0.500]], "sg": "P4/mmm, No. 123", "energy_ev_per_atom": -4.643}

No. 7
{"formula": "Pm2IrAuC", "functional": "GGA-PBE", "state": "relaxed", "lattice_angstrom": [[5.213, 0.000, 0.000], [0.000, 5.213, 0.000], [0.000, 0.000, 3.871]], "species": ["Pm", "Pm", "Ir", "Au", "C"], "fractional_positions": [[0.000, 0.500, 0.000], [0.500, 0.000, 0.000], [0.000, 0.000, 0.500], [0.500, 0.500, 0.500], [0.000, 0.000, 0.000]], "sg": "P4/mmm, No. 123", "energy_ev_per_atom": -6.791}

No. 8
{"formula": "Pr2IrAuC", "functional": "GGA-PBE", "state": "relaxed", "lattice_angstrom": [[5.319, 0.000, 0.000], [0.000, 5.319, 0.000], [0.000, 0.000, 3.875]], "species": ["Pr", "Pr", "Ir", "Au", "C"], "fractional_positions": [[0.000, 0.500, 0.000], [0.500, 0.000, 0.000], [0.000, 0.000, 0.500], [0.500, 0.500, 0.500], [0.000, 0.000, 0.000]], "sg": "P4/mmm, No. 123", "energy_ev_per_atom": -6.757}

No. 9
{"formula": "IrPt2AuC", "functional": "GGA-PBE", "state": "relaxed", "lattice_angstrom": [[4.078, 0.000, 0.000], [0.000, 4.078, 0.000], [0.000, 0.000, 4.480]], "species": ["Ir", "Pt", "Pt", "Au", "C"], "fractional_positions": [[0.000, 0.000, 0.000], [0.000, 0.500, 0.500], [0.500, 0.000, 0.500], [0.500, 0.500, 0.000], [0.500, 0.500, 0.500]], "sg": "P4/mmm, No. 123", "energy_ev_per_atom": -5.862}

No. 10
{"formula": "IrAu2CS", "functional": "GGA-PBE", "state": "relaxed", "lattice_angstrom": [[4.213, 0.000, 0.000], [0.000, 4.213, 0.000], [0.000, 0.000, 4.299]], "species": ["Ir", "Au", "Au", "C", "S"], "fractional_positions": [[0.000, 0.000, 0.000], [0.000, 0.500, 0.500], [0.500, 0.000, 0.500], [0.500, 0.500, 0.500], [0.500, 0.500, 0.000]], "sg": "P4/mmm, No. 123", "energy_ev_per_atom": -4.391}

What did the ninth record say?
{"formula": "IrPt2AuC", "functional": "GGA-PBE", "state": "relaxed", "lattice_angstrom": [[4.078, 0.000, 0.000], [0.000, 4.078, 0.000], [0.000, 0.000, 4.480]], "species": ["Ir", "Pt", "Pt", "Au", "C"], "fractional_positions": [[0.000, 0.000, 0.000], [0.000, 0.500, 0.500], [0.500, 0.000, 0.500], [0.500, 0.500, 0.000], [0.500, 0.500, 0.500]], "sg": "P4/mmm, No. 123", "energy_ev_per_atom": -5.862}